Computed, not measured: a relaxed NaCoSO crystal at the PBE+U level of DFT.

## Properties
- Total magnetic moment: 8.00 Bohr magnetons per cell
- Space group: Pca2_1, No. 29
- ΔE to the lowest computed polymorph: 0.30 eV/f.u.
- E_tot: -4.625 eV/atom

The structure in POSCAR format:
```
NaCoSO
1.0
6.4501 0.0000 0.0000
0.0000 7.1830 0.0000
0.0000 0.0000 5.8851
Na Co S O
4 4 4 4
Direct
0.1135 0.1150 0.0000
0.3865 0.1150 0.5000
0.6135 0.8850 0.0000
0.8865 0.8850 0.5000
0.0654 0.6424 0.0684
0.4346 0.6424 0.5684
0.5654 0.3576 0.0684
0.9346 0.3576 0.5684
0.1200 0.5912 0.7049
0.3800 0.5912 0.2049
0.6200 0.4088 0.7049
0.8800 0.4088 0.2049
0.0534 0.1463 0.6171
0.4466 0.1463 0.1171
0.5534 0.8537 0.6171
0.9466 0.8537 0.1171
```